Density functional theory data (PBE-GGA) for a relaxed AcPm3Pa2N6 crystal.

It has space group C2/m (No. 12), with a = 15.814 Å, b = 3.614 Å, c = 7.251 Å, α = 90.00°, β = 102.38° and γ = 90.00°. The inequivalent atoms are Ac at (0.000, 0.000, 0.000), Pm at (0.000, 0.000, 0.500), Pm at (0.170, 0.500, 0.838), Pa at (0.168, 0.500, 0.335), N at (0.022, 0.500, 0.277), N at (0.172, 0.000, 0.116) and N at (0.173, 0.000, 0.565).

The raw total energy comes out at -8.740 eV/atom. For the uncorrected formation energy, the calculation gives -1.464 eV per atom.

Density functional theory data (PBE-GGA) for a relaxed CaCuTc2 crystal.

It has space group R-3m (No. 166, hexagonal axes), with a = 2.8198 Å, b = 2.8198 Å, c = 28.3605 Å, α = 90.00°, β = 90.00° and γ = 120.00°. The inequivalent atoms are Ca at (0.0000, 0.0000, 0.0000), Cu at (0.0000, 0.0000, 0.5000) and Tc at (0.0000, 0.0000, 0.2411).

The raw total energy comes out at -5.963 eV/atom. The value obtained for the energy above the lowest structure with this stoichiometry is 12.50 kcal/mol of atoms. As for the formation energy: 3.0 eV/f.u.

Density functional theory data (PBE-GGA) for a relaxed NbPtBr3 crystal.

It has space group Pm-3m (No. 221), with a = 5.121 Å, b = 5.121 Å, c = 5.121 Å, α = 90.00°, β = 90.00° and γ = 90.00°. The inequivalent atoms are Nb at (0.000, 0.000, 0.000), Pt at (0.500, 0.500, 0.500) and Br at (0.000, 0.000, 0.500).

The raw total energy comes out at -3.715 eV/atom. The value obtained for the energy above the lowest structure with this stoichiometry is 0.00 kcal/mol of atoms. For the uncorrected formation energy, the calculation gives 0.510 eV per atom.

Density functional theory data (PBE-GGA) for a relaxed CaLa6Nd12 crystal.

It has space group R-3m (No. 166, hexagonal axes), with a = 15.3532 Å, b = 15.3532 Å, c = 10.1792 Å, α = 90.00°, β = 90.00° and γ = 120.00°. The inequivalent atoms are Ca at (0.0000, 0.0000, 0.0000), La at (0.0748, 0.5374, 0.6131), Nd at (0.0000, 0.2896, 0.5000) and Nd at (0.0803, 0.1605, 0.3113).

The raw total energy comes out at -4.461 eV/atom. As for the formation energy: 4.0 eV/f.u.

Density functional theory data (PBE-GGA) for a relaxed In2Te2Au crystal.

It has space group P4/mbm (No. 127), with a = 7.962 Å, b = 7.962 Å, c = 4.746 Å, α = 90.00°, β = 90.00° and γ = 90.00°. The inequivalent atoms are In at (0.136, 0.364, 0.000), Te at (0.186, 0.686, 0.500) and Au at (0.000, 0.000, 0.500).

The raw total energy comes out at -3.023 eV/atom. The value obtained for the energy above the lowest structure with this stoichiometry is 3.84 kcal/mol of atoms. For the uncorrected formation energy, the calculation gives -0.015 eV per atom.

Density functional theory data (PBE-GGA) for a relaxed Ce2HoSb crystal.

It has space group P2_1/m (No. 11), with a = 4.385 Å, b = 4.331 Å, c = 11.615 Å, α = 90.00°, β = 100.65° and γ = 90.00°. The inequivalent atoms are Ce at (0.007, 0.250, 0.121), Ce at (0.405, 0.250, 0.886), Ho at (0.304, 0.750, 0.610) and Sb at (0.175, 0.750, 0.339).

The raw total energy comes out at -5.711 eV/atom. The value obtained for the energy above the lowest structure with this stoichiometry is 0.00 kcal/mol of atoms. For the uncorrected formation energy, the calculation gives -0.569 eV per atom.